Record 1
# LiAg2Pb2 (GGA-PBE, optimized geometry)
data_LiAg2Pb2
_chemical_formula_sum 'Li2 Ag4 Pb4'
_cell_length_a 4.825
_cell_length_b 4.825
_cell_length_c 12.070
_cell_angle_alpha 90.00
_cell_angle_beta 90.00
_cell_angle_gamma 90.00
_symmetry_space_group_name_H-M 'I 4/m m m'
_symmetry_Int_Tables_number 139
_symmetry_space_group_name_Hall '-I 4 2'
loop_
_atom_site_label
_atom_site_type_symbol
_atom_site_fract_x
_atom_site_fract_y
_atom_site_fract_z
_atom_site_occupancy
Li1 Li 0.000 0.000 0.000 1
Ag1 Ag 0.000 0.000 0.390 1
Pb1 Pb 0.000 0.500 0.250 1
# Mass density ... 7.53 g/cm3
# Total moment ... 0.0000 μB per atom

***

Record 2
# Li4AgPb3 (GGA-PBE, optimized geometry)
data_Li4AgPb3
_chemical_formula_sum 'Li4 Ag1 Pb3'
_cell_length_a 3.566
_cell_length_b 3.566
_cell_length_c 13.127
_cell_angle_alpha 90.00
_cell_angle_beta 90.00
_cell_angle_gamma 90.00
_symmetry_space_group_name_H-M 'P 4/m m m'
_symmetry_Int_Tables_number 123
_symmetry_space_group_name_Hall '-P 4 2'
loop_
_atom_site_label
_atom_site_type_symbol
_atom_site_fract_x
_atom_site_fract_y
_atom_site_fract_z
_atom_site_occupancy
Li1 Li 0.000 0.000 0.109 1
Li2 Li 0.000 0.000 0.367 1
Ag1 Ag 0.500 0.500 0.000 1
Pb1 Pb 0.500 0.500 0.234 1
Pb2 Pb 0.500 0.500 0.500 1
# Mass density ... 7.53 g/cm3
# Total moment ... 0.0000 μB per atom

***

Record 3
# Li2AgPb2 (GGA-PBE, optimized geometry)
data_Li2AgPb2
_chemical_formula_sum 'Li4 Ag2 Pb4'
_cell_length_a 4.001
_cell_length_b 4.001
_cell_length_c 14.405
_cell_angle_alpha 90.00
_cell_angle_beta 90.00
_cell_angle_gamma 90.00
_symmetry_space_group_name_H-M 'I 4/m m m'
_symmetry_Int_Tables_number 139
_symmetry_space_group_name_Hall '-I 4 2'
loop_
_atom_site_label
_atom_site_type_symbol
_atom_site_fract_x
_atom_site_fract_y
_atom_site_fract_z
_atom_site_occupancy
Li1 Li 0.000 0.500 0.250 1
Ag1 Ag 0.000 0.000 0.000 1
Pb1 Pb 0.000 0.000 0.396 1
# Mass density ... 7.72 g/cm3
# Total moment ... 0.0000 μB per atom

***

Record 4
# LiAgPb2 (GGA-PBE, optimized geometry)
data_LiAgPb2
_chemical_formula_sum 'Li2 Ag2 Pb4'
_cell_length_a 8.119
_cell_length_b 4.689
_cell_length_c 5.841
_cell_angle_alpha 90.00
_cell_angle_beta 117.09
_cell_angle_gamma 90.00
_symmetry_space_group_name_H-M 'C 1 m 1'
_symmetry_Int_Tables_number 8
_symmetry_space_group_name_Hall 'C -2y'
loop_
_atom_site_label
_atom_site_type_symbol
_atom_site_fract_x
_atom_site_fract_y
_atom_site_fract_z
_atom_site_occupancy
Li1 Li 0.000 0.000 0.000 1
Ag1 Ag 0.145 0.500 0.934 1
Pb1 Pb 0.217 0.000 0.653 1
Pb2 Pb 0.427 0.000 0.279 1
# Mass density ... 8.88 g/cm3
# Total moment ... 0.0000 μB per atom

***

Record 5
# Li6Ag5Pb (GGA-PBE, optimized geometry)
data_Li6Ag5Pb
_chemical_formula_sum 'Li12 Ag10 Pb2'
_cell_length_a 4.570
_cell_length_b 6.444
_cell_length_c 13.651
_cell_angle_alpha 90.00
_cell_angle_beta 90.00
_cell_angle_gamma 90.00
_symmetry_space_group_name_H-M 'I m m m'
_symmetry_Int_Tables_number 71
_symmetry_space_group_name_Hall '-I 2 2'
loop_
_atom_site_label
_atom_site_type_symbol
_atom_site_fract_x
_atom_site_fract_y
_atom_site_fract_z
_atom_site_occupancy
Li1 Li 0.000 0.233 0.000 1
Li2 Li 0.000 0.258 0.330 1
Ag1 Ag 0.000 0.000 0.170 1
Ag2 Ag 0.000 0.500 0.165 1
Ag3 Ag 0.000 0.500 0.500 1
Pb1 Pb 0.000 0.000 0.500 1
# Mass density ... 6.51 g/cm3
# Total moment ... 0.0000 μB per atom

***

Record 6
# LiAgPb2 (GGA-PBE, optimized geometry)
data_LiAgPb2
_chemical_formula_sum 'Li2 Ag2 Pb4'
_cell_length_a 3.354
_cell_length_b 4.435
_cell_length_c 15.094
_cell_angle_alpha 90.00
_cell_angle_beta 90.00
_cell_angle_gamma 90.00
_symmetry_space_group_name_H-M 'I m m m'
_symmetry_Int_Tables_number 71
_symmetry_space_group_name_Hall '-I 2 2'
loop_
_atom_site_label
_atom_site_type_symbol
_atom_site_fract_x
_atom_site_fract_y
_atom_site_fract_z
_atom_site_occupancy
Li1 Li 0.000 0.000 0.000 1
Ag1 Ag 0.000 0.000 0.500 1
Pb1 Pb 0.000 0.000 0.312 1
# Mass density ... 7.83 g/cm3
# Total moment ... 0.0000 μB per atom

***

Record 7
# Li2AgPb2 (GGA-PBE, optimized geometry)
data_Li2AgPb2
_chemical_formula_sum 'Li4 Ag2 Pb4'
_cell_length_a 7.030
_cell_length_b 7.030
_cell_length_c 4.301
_cell_angle_alpha 90.00
_cell_angle_beta 90.00
_cell_angle_gamma 90.00
_symmetry_space_group_name_H-M 'P 4/m b m'
_symmetry_Int_Tables_number 127
_symmetry_space_group_name_Hall '-P 4 2ab'
loop_
_atom_site_label
_atom_site_type_symbol
_atom_site_fract_x
_atom_site_fract_y
_atom_site_fract_z
_atom_site_occupancy
Li1 Li 0.139 0.361 0.000 1
Ag1 Ag 0.000 0.000 0.000 1
Pb1 Pb 0.170 0.670 0.500 1
# Mass density ... 8.38 g/cm3
# Total moment ... 0.0000 μB per atom

***

Record 8
# LiAgPb2 (GGA-PBE, optimized geometry)
data_LiAgPb2
_chemical_formula_sum 'Li1 Ag1 Pb2'
_cell_length_a 3.428
_cell_length_b 3.428
_cell_length_c 7.973
_cell_angle_alpha 90.00
_cell_angle_beta 90.00
_cell_angle_gamma 90.00
_symmetry_space_group_name_H-M 'P 4 m m'
_symmetry_Int_Tables_number 99
_symmetry_space_group_name_Hall 'P 4 -2'
loop_
_atom_site_label
_atom_site_type_symbol
_atom_site_fract_x
_atom_site_fract_y
_atom_site_fract_z
_atom_site_occupancy
Li1 Li 0.000 0.000 0.000 1
Ag1 Ag 0.500 0.500 0.836 1
Pb1 Pb 0.000 0.000 0.576 1
Pb2 Pb 0.500 0.500 0.242 1
# Mass density ... 9.38 g/cm3
# Total moment ... 0.0000 μB per atom

***

Record 9
# Li4Ag2Pb3 (GGA-PBE, optimized geometry)
data_Li4Ag2Pb3
_chemical_formula_sum 'Li4 Ag2 Pb3'
_cell_length_a 5.069
_cell_length_b 5.298
_cell_length_c 8.026
_cell_angle_alpha 95.85
_cell_angle_beta 95.57
_cell_angle_gamma 118.55
_symmetry_space_group_name_H-M 'P -1'
_symmetry_Int_Tables_number 2
_symmetry_space_group_name_Hall '-P 1'
loop_
_atom_site_label
_atom_site_type_symbol
_atom_site_fract_x
_atom_site_fract_y
_atom_site_fract_z
_atom_site_occupancy
Li1 Li 0.065 0.232 0.160 1
Li2 Li 0.326 0.646 0.513 1
Ag1 Ag 0.289 0.468 0.844 1
Pb1 Pb 0.000 0.000 0.500 1
Pb2 Pb 0.393 0.885 0.181 1
# Mass density ... 7.74 g/cm3
# Total moment ... 0.0000 μB per atom

***

Record 10
# Li3Ag3Pb (GGA-PBE, optimized geometry)
data_Li3Ag3Pb
_chemical_formula_sum 'Li6 Ag6 Pb2'
_cell_length_a 6.888
_cell_length_b 6.888
_cell_length_c 6.888
_cell_angle_alpha 90.00
_cell_angle_beta 90.00
_cell_angle_gamma 90.00
_symmetry_space_group_name_H-M 'P m -3 n'
_symmetry_Int_Tables_number 223
_symmetry_space_group_name_Hall '-P 4n 2 3'
loop_
_atom_site_label
_atom_site_type_symbol
_atom_site_fract_x
_atom_site_fract_y
_atom_site_fract_z
_atom_site_occupancy
Li1 Li 0.000 0.250 0.500 1
Ag1 Ag 0.000 0.500 0.250 1
Pb1 Pb 0.000 0.000 0.000 1
# Mass density ... 5.61 g/cm3
# Total moment ... 0.0000 μB per atom

***

Record 11
# LiAgPb2 (GGA-PBE, optimized geometry)
data_LiAgPb2
_chemical_formula_sum 'Li1 Ag1 Pb2'
_cell_length_a 3.501
_cell_length_b 3.770
_cell_length_c 7.183
_cell_angle_alpha 90.00
_cell_angle_beta 90.88
_cell_angle_gamma 90.00
_symmetry_space_group_name_H-M 'P 1 2/m 1'
_symmetry_Int_Tables_number 10
_symmetry_space_group_name_Hall '-P 2y'
loop_
_atom_site_label
_atom_site_type_symbol
_atom_site_fract_x
_atom_site_fract_y
_atom_site_fract_z
_atom_site_occupancy
Li1 Li 0.000 0.000 0.000 1
Ag1 Ag 0.000 0.000 0.500 1
Pb1 Pb 0.499 0.500 0.252 1
# Mass density ... 9.27 g/cm3
# Total moment ... 0.0000 μB per atom

***

Record 12
# Li7Ag12Pb (GGA-PBE, optimized geometry)
data_Li7Ag12Pb
_chemical_formula_sum 'Li21 Ag36 Pb3'
_cell_length_a 10.3160
_cell_length_b 10.3160
_cell_length_c 12.2974
_cell_angle_alpha 90.00
_cell_angle_beta 90.00
_cell_angle_gamma 120.00
_symmetry_space_group_name_H-M 'R -3'
_symmetry_Int_Tables_number 148
_symmetry_space_group_name_Hall '-R 3'
loop_
_atom_site_label
_atom_site_type_symbol
_atom_site_fract_x
_atom_site_fract_y
_atom_site_fract_z
_atom_site_occupancy
Li1 Li 0.0000 0.0000 0.0000 1
Li2 Li 0.0175 0.8229 0.3069 1
Ag1 Ag 0.0121 0.5702 0.1954 1
Ag2 Ag 0.0735 0.2506 0.9195 1
Pb1 Pb 0.0000 0.0000 0.5000 1
# Mass density ... 6.81 g/cm3
# Total moment ... 0.0000 μB per atom

***

| no. | VASP energy (eV per cell) | calculated volume (Å³/cell) | energy of formation from the pure elements (kJ/mol of formula units) |
| --- | --- | --- | --- |
| 1 | -28.47 | 281 | 77 |
| 2 | -23.59 | 167 | -189 |
| 3 | -27.71 | 231 | 23 |
| 4 | -24.65 | 198 | -14 |
| 5 | -64.15 | 402 | -254 |
| 6 | -23.85 | 225 | 25 |
| 7 | -29.48 | 213 | -62 |
| 8 | -12.50 | 94 | -31 |
| 9 | -26.27 | 186 | -172 |
| 10 | -31.91 | 327 | 198 |
| 11 | -12.51 | 95 | -32 |
| 12 | -159.08 | 1133 | -165 |